(1)
Density functional theory data (PBE-GGA) for Mg3TlCr after structural relaxation.

Summary:
The value obtained for the calculated density is 3.7 Mg/m³. For the spin magnetization, the calculation gives 0.910 μB per atom. The value obtained for the formation energy is 0.608 eV/atom.

a = 5.2859 Å, b = 5.2859 Å, c = 5.2859 Å
α = 90.00°, β = 90.00°, γ = 90.00°
Space group Pm-3m (No. 221)
Asymmetric unit:
Mg 0.0000 0.0000 0.5000 [3 per cell]
Tl 0.5000 0.5000 0.5000 [1 per cell]
Cr 0.0000 0.0000 0.0000 [1 per cell]



(2)
Density functional theory data (PBE-GGA) for MgTlCr4 after structural relaxation.

Summary:
The value obtained for the calculated density is 8.3 Mg/m³. For the spin magnetization, the calculation gives 0.000 μB per atom. The value obtained for the formation energy is 0.536 eV/atom.

a = 7.0538 Å, b = 7.0538 Å, c = 7.0538 Å
α = 90.00°, β = 90.00°, γ = 90.00°
Space group F-43m (No. 216)
Asymmetric unit:
Mg 0.0000 0.0000 0.0000 [4 per cell]
Tl 0.2500 0.2500 0.7500 [4 per cell]
Cr 0.1260 0.1260 0.3740 [16 per cell]



(3)
Density functional theory data (PBE-GGA) for MgTl4Cr after structural relaxation.

Summary:
The value obtained for the calculated density is 8.4 Mg/m³. For the spin magnetization, the calculation gives 0.794 μB per atom. The value obtained for the formation energy is 0.522 eV/atom.

a = 8.9228 Å, b = 8.9228 Å, c = 8.9228 Å
α = 90.00°, β = 90.00°, γ = 90.00°
Space group F-43m (No. 216)
Asymmetric unit:
Mg 0.0000 0.0000 0.0000 [4 per cell]
Tl 0.1247 0.1247 0.6247 [16 per cell]
Cr 0.2500 0.2500 0.2500 [4 per cell]



The highest spin magnetization belongs to which entry? Mg3TlCr



Among the records above, which one has the highest calculated density? MgTl4Cr